1.
TaCo2NiTe: optimized geometry, PBE.

Properties
- density of states at the Fermi level (states/eV per cell) = 4.568
- calculated volume (Å³/atom) = 21.4
- uncorrected formation energy (kJ/mol of atoms) = 139.3
- crystal system = tetragonal
- space group = P4/mmm

abc: 4.5089 5.2627 4.5089
angles: 90.00 90.00 90.00
Each line ends with the local moment (μB).
Atoms (fractional coordinates):
Co  0.0000  0.0000  0.5000  0.97
Co  0.5000  0.0000  0.0000  0.69
Ni  0.5000  0.5000  0.5000  0.69
Te  0.0000  0.5000  0.0000  0.07
Ta  0.0000  0.0000  0.0000  -0.14

2.
PmY2HgO: optimized geometry, PBE.

Properties
- density of states at the Fermi level (states/eV per cell) = 2.307
- calculated volume (Å³/atom) = 22.5
- uncorrected formation energy (kJ/mol of atoms) = -132.9
- crystal system = tetragonal
- space group = P4/mmm

abc: 4.9019 4.7907 4.7907
angles: 90.00 90.00 90.00
Atoms (fractional coordinates):
O  0.0000  0.0000  0.0000
Y  0.0000  0.5000  0.0000
Y  0.0000  0.0000  0.5000
Pm  0.5000  0.0000  0.0000
Hg  0.5000  0.5000  0.5000